# 1
# SrHoPdAu PBE-GGA optimized geometry
# M_tot	0.00	μB per atom
# energy relative to the elements	-0.673	eV/atom
# uncorrected energy	-0.1601	hartree per atom
data_SrHoPdAu
_chemical_formula_sum 'Sr4 Ho4 Pd4 Au4'
_symmetry_space_group_name_H-M 'F -4 3 m'
_symmetry_Int_Tables_number 216
_symmetry_space_group_name_Hall 'F -4 2 3'
_cell_length_a 7.2909
_cell_length_b 7.2909
_cell_length_c 7.2909
_cell_angle_alpha 90.00
_cell_angle_beta 90.00
_cell_angle_gamma 90.00
loop_
_atom_site_label
_atom_site_type_symbol
_atom_site_fract_x
_atom_site_fract_y
_atom_site_fract_z
Sr1 Sr 0.0000 0.0000 0.0000
Ho1 Ho 0.0000 0.0000 0.5000
Pd1 Pd 0.2500 0.2500 0.2500
Au1 Au 0.2500 0.2500 0.7500

=====

# 2
# HoTiPdAu PBE-GGA optimized geometry
# M_tot	0.34	μB per atom
# energy relative to the elements	-0.538	eV/atom
# uncorrected energy	-0.2122	hartree per atom
data_HoTiPdAu
_chemical_formula_sum 'Ho4 Ti4 Pd4 Au4'
_symmetry_space_group_name_H-M 'F -4 3 m'
_symmetry_Int_Tables_number 216
_symmetry_space_group_name_Hall 'F -4 2 3'
_cell_length_a 6.7871
_cell_length_b 6.7871
_cell_length_c 6.7871
_cell_angle_alpha 90.00
_cell_angle_beta 90.00
_cell_angle_gamma 90.00
loop_
_atom_site_label
_atom_site_type_symbol
_atom_site_fract_x
_atom_site_fract_y
_atom_site_fract_z
Ho1 Ho 0.0000 0.0000 0.0000
Ti1 Ti 0.0000 0.0000 0.5000
Pd1 Pd 0.2500 0.2500 0.7500
Au1 Au 0.2500 0.2500 0.2500

=====

# 3
# HoZnPdAu PBE-GGA optimized geometry
# M_tot	0.00	μB per atom
# energy relative to the elements	-0.700	eV/atom
# uncorrected energy	-0.1573	hartree per atom
data_HoZnPdAu
_chemical_formula_sum 'Ho2 Zn2 Pd2 Au2'
_symmetry_space_group_name_H-M 'C 1 m 1'
_symmetry_Int_Tables_number 8
_cell_length_a 7.8523
_cell_length_b 4.4862
_cell_length_c 5.1115
_cell_angle_alpha 90.00
_cell_angle_beta 120.43
_cell_angle_gamma 90.00
loop_
_symmetry_equiv_pos_as_xyz
'x,y,z'
'x,-y,z'
'x+1/2,y+1/2,z'
'x+1/2,-y+1/2,z'
loop_
_atom_site_label
_atom_site_type_symbol
_atom_site_fract_x
_atom_site_fract_y
_atom_site_fract_z
Ho1 Ho 0.0000 0.0000 0.0000
Zn1 Zn 0.4867 0.0000 0.4603
Pd1 Pd 0.2787 0.5000 0.3367
Au1 Au 0.2225 0.0000 0.6707

=====

# 4
# PmHo2Au4 PBE-GGA optimized geometry
# M_tot	0.00	μB per atom
# energy relative to the elements	-0.695	eV/atom
# uncorrected energy	-0.1674	hartree per atom
data_PmHo2Au4
_chemical_formula_sum 'Pm2 Ho4 Au8'
_symmetry_space_group_name_H-M 'C m m m'
_symmetry_Int_Tables_number 65
_symmetry_space_group_name_Hall '-C 2 2'
_cell_length_a 7.2741
_cell_length_b 9.7798
_cell_length_c 5.0234
_cell_angle_alpha 90.00
_cell_angle_beta 90.00
_cell_angle_gamma 90.00
loop_
_atom_site_label
_atom_site_type_symbol
_atom_site_fract_x
_atom_site_fract_y
_atom_site_fract_z
Pm1 Pm 0.0000 0.0000 0.0000
Ho1 Ho 0.0000 0.2852 0.5000
Au1 Au 0.2140 0.0000 0.5000
Au2 Au 0.2500 0.2500 0.0000

=====

# 5
# PmHoAu PBE-GGA optimized geometry
# energy relative to the lowest polymorph listed for this composition	175	meV/atom
# M_tot	0.00	μB per atom
# energy relative to the elements	-0.412	eV/atom
# uncorrected energy	-0.1696	hartree per atom
data_PmHoAu
_chemical_formula_sum 'Pm4 Ho4 Au4'
_symmetry_space_group_name_H-M 'F -4 3 m'
_symmetry_Int_Tables_number 216
_symmetry_space_group_name_Hall 'F -4 2 3'
_cell_length_a 7.1111
_cell_length_b 7.1111
_cell_length_c 7.1111
_cell_angle_alpha 90.00
_cell_angle_beta 90.00
_cell_angle_gamma 90.00
loop_
_atom_site_label
_atom_site_type_symbol
_atom_site_fract_x
_atom_site_fract_y
_atom_site_fract_z
Pm1 Pm 0.0000 0.0000 0.0000
Ho1 Ho 0.0000 0.0000 0.5000
Au1 Au 0.2500 0.2500 0.2500

=====

# 6
# PmHoAu4 PBE-GGA optimized geometry
# M_tot	0.00	μB per atom
# energy relative to the elements	-0.829	eV/atom
# uncorrected energy	-0.1679	hartree per atom
data_PmHoAu4
_chemical_formula_sum 'Pm1 Ho1 Au4'
_symmetry_space_group_name_H-M 'P -1'
_symmetry_Int_Tables_number 2
_cell_length_a 3.7763
_cell_length_b 5.2866
_cell_length_c 7.5616
_cell_angle_alpha 69.97
_cell_angle_beta 75.63
_cell_angle_gamma 69.22
loop_
_symmetry_equiv_pos_as_xyz
'x,y,z'
'-x,-y,-z'
loop_
_atom_site_label
_atom_site_type_symbol
_atom_site_fract_x
_atom_site_fract_y
_atom_site_fract_z
Pm1 Pm 0.0000 0.0000 0.0000
Ho1 Ho 0.0000 0.5000 0.5000
Au1 Au 0.3344 0.9930 0.3395
Au2 Au 0.3379 0.5045 0.8223

=====

# 7
# Pm3Ho4Au4 PBE-GGA optimized geometry
# M_tot	0.00	μB per atom
# energy relative to the elements	-0.581	eV/atom
# uncorrected energy	-0.1740	hartree per atom
data_Pm3Ho4Au4
_chemical_formula_sum 'Pm6 Ho8 Au8'
_symmetry_space_group_name_H-M 'I m m m'
_symmetry_Int_Tables_number 71
_symmetry_space_group_name_Hall '-I 2 2'
_cell_length_a 4.8533
_cell_length_b 7.7530
_cell_length_c 15.7510
_cell_angle_alpha 90.00
_cell_angle_beta 90.00
_cell_angle_gamma 90.00
loop_
_atom_site_label
_atom_site_type_symbol
_atom_site_fract_x
_atom_site_fract_y
_atom_site_fract_z
Pm1 Pm 0.0000 0.0000 0.0000
Pm2 Pm 0.0000 0.5000 0.1032
Ho1 Ho 0.0000 0.2864 0.3272
Au1 Au 0.0000 0.0000 0.2067
Au2 Au 0.0000 0.1895 0.5000

=====

# 8
# Pm2HoAu3 PBE-GGA optimized geometry
# energy relative to the lowest polymorph listed for this composition	7	meV/atom
# M_tot	0.00	μB per atom
# energy relative to the elements	-0.809	eV/atom
# uncorrected energy	-0.1762	hartree per atom
data_Pm2HoAu3
_chemical_formula_sum 'Pm4 Ho2 Au6'
_symmetry_space_group_name_H-M 'P m m n'
_symmetry_Int_Tables_number 59
_cell_length_a 5.1630
_cell_length_b 15.6201
_cell_length_c 3.6379
_cell_angle_alpha 90.00
_cell_angle_beta 90.00
_cell_angle_gamma 90.00
loop_
_symmetry_equiv_pos_as_xyz
'x,y,z'
'-x,-y,-z'
'-x+1/2,-y+1/2,z'
'x+1/2,y+1/2,-z'
'x+1/2,-y,-z'
'-x+1/2,y,z'
'-x,y+1/2,-z'
'x,-y+1/2,z'
loop_
_atom_site_label
_atom_site_type_symbol
_atom_site_fract_x
_atom_site_fract_y
_atom_site_fract_z
Pm1 Pm 0.2500 0.0825 0.0013
Ho1 Ho 0.2500 0.7500 0.9990
Au1 Au 0.2500 0.2500 0.4994
Au2 Au 0.2500 0.5926 0.4979